# EuAuSe2 | Alexandria via LeMat-Bulk | GGA-PBE | relaxed
# Crystal system: trigonal
# DFT total energy, eV for the cell shown: -72.48
# Raw formation energy, kJ/mol of atoms: -87.8
data_EuAuSe2
_chemical_formula_sum 'Eu3 Au3 Se6'
_symmetry_space_group_name_H-M 'R -3 m'
_symmetry_Int_Tables_number 166
_symmetry_space_group_name_Hall '-R 3 2"'
_cell_length_a 4.5751
_cell_length_b 4.5751
_cell_length_c 22.8653
_cell_angle_alpha 90.00
_cell_angle_beta 90.00
_cell_angle_gamma 120.00
loop_
_atom_site_label
_atom_site_fract_x
_atom_site_fract_y
_atom_site_fract_z
_atom_site_occupancy
Eu1 0.0000 0.0000 0.0000 1
Au1 0.0000 0.0000 0.5000 1
Se1 0.0000 0.0000 0.3947 1